1.
Density functional theory data (PBE-GGA) for an optimized crystal structure of MnBeAg2.

## Properties
DFT formation energy, eV/f.u.: 1.06
E, eV per atom: -4.384
Total moment, μB per atom: 0.93

Cell lengths 5.156, 5.156, 5.156 Å; angles 146.42, 128.43, 62.95 degrees
Sites, in units of the cell vectors:
Mn (0.000, 0.000, 0.000)
Be (0.783, 0.283, 0.500)
Ag (0.283, 0.783, 0.500)
Ag (0.568, 0.568, 0.000)

=====

2.
Density functional theory data (PBE-GGA) for an optimized crystal structure of NbSn2Ru2.

## Properties
DFT formation energy, eV/f.u.: 0.37
E, eV per atom: -7.251
Total moment, μB per atom: 0.00

Cell lengths 7.517, 7.517, 3.164 Å; angles 90.00, 90.00, 90.00 degrees
Sites, in units of the cell vectors:
Nb (0.000, 0.000, 0.000)
Nb (0.500, 0.500, 0.000)
Sn (0.163, 0.337, 0.500)
Sn (0.337, 0.837, 0.500)
Sn (0.663, 0.163, 0.500)
Sn (0.837, 0.663, 0.500)
Ru (0.135, 0.635, 0.000)
Ru (0.365, 0.135, 0.000)
Ru (0.635, 0.865, 0.000)
Ru (0.865, 0.365, 0.000)

=====

3.
Density functional theory data (PBE-GGA) for an optimized crystal structure of LaPtRh2.

## Properties
DFT formation energy, eV/f.u.: -1.15
E, eV per atom: -6.705
Total moment, μB per atom: 0.00

Cell lengths 5.563, 5.563, 3.078 Å; angles 104.65, 104.65, 117.84 degrees
Sites, in units of the cell vectors:
La (0.000, 0.000, 0.000)
Pt (0.500, 0.500, 0.000)
Rh (0.000, 0.500, 0.500)
Rh (0.500, 0.000, 0.500)

=====

4.
Density functional theory data (PBE-GGA) for an optimized crystal structure of CaZr2SnW.

## Properties
DFT formation energy, eV/f.u.: 9.20
E, eV per atom: -5.370
Total moment, μB per atom: 0.00

Cell lengths 5.031, 5.031, 4.702 Å; angles 90.00, 90.00, 90.00 degrees
Sites, in units of the cell vectors:
Ca (0.000, 0.000, 0.000)
Zr (0.000, 0.500, 0.000)
Zr (0.500, 0.000, 0.000)
Sn (0.500, 0.500, 0.500)
W (0.000, 0.000, 0.500)

=====

5.
Density functional theory data (PBE-GGA) for an optimized crystal structure of Rb4C3.

## Properties
Excess energy over the best structure of this formula in the dataset, eV/f.u.: 3.35
DFT formation energy, eV/f.u.: 16.91
E, eV per atom: -2.091
Total moment, μB per atom: 0.29

Cell lengths 5.963, 5.963, 5.791 Å; angles 90.00, 90.00, 120.00 degrees
Sites, in units of the cell vectors:
Rb (0.000, 0.000, 0.240)
Rb (0.000, 0.000, 0.760)
Rb (0.333, 0.667, 0.500)
Rb (0.667, 0.333, 0.500)
C (0.000, 0.500, 0.000)
C (0.500, 0.000, 0.000)
C (0.500, 0.500, 0.000)

=====

6.
Density functional theory data (PBE-GGA) for an optimized crystal structure of LiCa2In8.

## Properties
DFT formation energy, eV/f.u.: -3.00
E, eV per atom: -2.803
Total moment, μB per atom: 0.00

Cell lengths 4.825, 4.825, 12.115 Å; angles 90.00, 90.00, 90.00 degrees
Sites, in units of the cell vectors:
Li (0.000, 0.000, 0.000)
Ca (0.000, 0.000, 0.314)
Ca (0.000, 0.000, 0.686)
In (0.000, 0.500, 0.128)
In (0.000, 0.500, 0.500)
In (0.000, 0.500, 0.872)
In (0.500, 0.000, 0.128)
In (0.500, 0.000, 0.500)
In (0.500, 0.000, 0.872)
In (0.500, 0.500, 0.306)
In (0.500, 0.500, 0.694)

=====

7.
Density functional theory data (PBE-GGA) for an optimized crystal structure of La3W.

## Properties
Excess energy over the best structure of this formula in the dataset, eV/f.u.: 1.02
DFT formation energy, eV/f.u.: 2.67
E, eV per atom: -6.266
Total moment, μB per atom: 0.00

Cell lengths 6.157, 6.157, 3.239 Å; angles 90.00, 90.00, 116.39 degrees
Sites, in units of the cell vectors:
La (0.000, 0.000, 0.000)
La (0.000, 0.500, 0.500)
La (0.500, 0.000, 0.500)
W (0.500, 0.500, 0.000)

=====

8.
Density functional theory data (PBE-GGA) for an optimized crystal structure of Tl2In4Bi3.

## Properties
DFT formation energy, eV/f.u.: 0.31
E, eV per atom: -3.002
Total moment, μB per atom: 0.00

Cell lengths 6.175, 6.175, 9.807 Å; angles 110.51, 110.51, 53.73 degrees
Sites, in units of the cell vectors:
Tl (0.165, 0.165, 0.243)
Tl (0.835, 0.835, 0.757)
In (0.171, 0.171, 0.918)
In (0.494, 0.494, 0.660)
In (0.506, 0.506, 0.340)
In (0.829, 0.829, 0.082)
Bi (0.153, 0.153, 0.588)
Bi (0.500, 0.500, 0.000)
Bi (0.847, 0.847, 0.412)